No. 1
This record from the Alexandria database describes a relaxed structure of NdErTl. The functional is GGA-PBE.

Cell lengths 5.2937, 5.2937, 3.7837 Å; angles 90.00, 90.00, 120.00 degrees
Space group P3m1 (No. 156)
Inequivalent atoms, fractional coordinates:
Nd 0.0000 0.0000 0.0000 [1 per cell]
Er 0.3333 0.6667 0.4776 [1 per cell]
Tl 0.6667 0.3333 0.5634 [1 per cell]

Its energy above the most stable polymorph in this dataset is 91 meV/atom. The calculation puts the volume at 91.83 Å³/cell.

No. 2
This record from the Alexandria database describes a relaxed structure of NdEr6Tl2. The functional is GGA-PBE.

Cell lengths 12.6777, 3.7274, 11.9919 Å; angles 90.00, 107.73, 90.00 degrees
Space group C2/m (No. 12)
Inequivalent atoms, fractional coordinates:
Nd 0.0000 0.0000 0.0000 [2 per cell]
Er 0.0111 0.0000 0.3492 [4 per cell]
Er 0.1875 0.5000 0.8736 [4 per cell]
Er 0.1902 0.5000 0.5816 [4 per cell]
Tl 0.1421 0.5000 0.2180 [4 per cell]

The calculation puts the volume at 539.76 Å³/cell.

No. 3
This record from the Alexandria database describes a relaxed structure of Nd4ErTl. The functional is GGA-PBE.

Cell lengths 8.9673, 14.4098, 6.5973 Å; angles 90.00, 109.70, 90.00 degrees
Space group C2/c (No. 15)
Inequivalent atoms, fractional coordinates:
Nd 0.0970 0.1904 0.0454 [8 per cell]
Nd 0.2123 0.3812 0.3775 [8 per cell]
Er 0.0000 0.4107 0.7500 [4 per cell]
Tl 0.0000 0.0008 0.7500 [4 per cell]

Its energy above the most stable polymorph in this dataset is 80 meV/atom. The calculation puts the volume at 802.57 Å³/cell.

| no. | formation energy (eV per atom) | raw total energy (eV/atom) | N(E_F) (states/eV per atom) |
| --- | --- | --- | --- |
| 1 | -0.17 | -4.06 | 0.6722 |
| 2 | -0.14 | -4.24 | 1.3475 |
| 3 | -0.02 | -4.35 | 1.3100 |